Here is KTlW after structural relaxation from the Open Quantum Materials Database. Energies are from PBE.

Lattice parameters (Å, degrees): 5.4021 5.4021 5.4021 60.00 60.00 60.00
Closest atoms and distances in Å follow each position.
Element x y z (fractional)
K 0.0000 0.0000 0.0000  4 Tl 3.31, 4 W 3.31
Tl 0.7500 0.7500 0.7500  4 K 3.31
W 0.2500 0.2500 0.2500  4 K 3.31

Values from the calculation:
excess energy over the best structure of this formula in the dataset = 391 meV/atom
symmetry = F-43m
V = 111.5 Å³ per cell